# 1
# CdCo2Ag2

A relaxed structure of CdCo2Ag2 (GGA-PBE, Alexandria via LeMat-Bulk).

a = 6.388 Å, b = 6.388 Å, c = 6.388 Å
α = 144.77°, β = 144.77°, γ = 50.68°
Positions (direct):
Cd 0.000 0.000 0.000
Co 0.407 0.407 0.000
Co 0.593 0.593 0.000
Ag 0.250 0.750 0.500
Ag 0.750 0.250 0.500

Values from the calculation:
- calculated formation energy (kJ per mole of atoms) = 53.39
- magnetic moment (μB per formula unit) = 3.4
- E above lowest polymorph (eV per formula unit) = 0.594
- space-group type = No. 139

# 2
# CdCoAg

A relaxed structure of CdCoAg (GGA-PBE, Alexandria via LeMat-Bulk).

a = 2.862 Å, b = 2.862 Å, c = 6.990 Å
α = 90.00°, β = 90.00°, γ = 120.00°
Positions (direct):
Cd 0.000 0.000 0.000
Co 0.333 0.667 0.321
Ag 0.667 0.333 0.632

Values from the calculation:
- calculated formation energy (kJ per mole of atoms) = 32.32
- magnetic moment (μB per formula unit) = 1.5
- E above lowest polymorph (eV per formula unit) = 0.097
- space-group type = No. 156

# 3
# CrCdCo2Ag

A relaxed structure of CrCdCo2Ag (GGA-PBE, Alexandria via LeMat-Bulk).

a = 4.722 Å, b = 4.722 Å, c = 5.003 Å
α = 90.00°, β = 90.00°, γ = 90.00°
Positions (direct):
Cr 0.000 0.000 0.000
Cd 0.000 0.000 0.500
Co 0.000 0.500 0.500
Co 0.500 0.000 0.500
Ag 0.500 0.500 0.000

Values from the calculation:
- calculated formation energy (kJ per mole of atoms) = 157.12
- magnetic moment (μB per formula unit) = 7.6
- space-group type = No. 123

# 4
# CdCo2CuAg

A relaxed structure of CdCo2CuAg (GGA-PBE, Alexandria via LeMat-Bulk).

a = 4.408 Å, b = 4.408 Å, c = 4.800 Å
α = 90.00°, β = 90.00°, γ = 90.00°
Positions (direct):
Cd 0.000 0.000 0.000
Co 0.000 0.500 0.500
Co 0.500 0.000 0.500
Cu 0.000 0.000 0.500
Ag 0.500 0.500 0.000

Values from the calculation:
- calculated formation energy (kJ per mole of atoms) = 97.18
- magnetic moment (μB per formula unit) = 3.6
- space-group type = No. 123

Please write out number 3 again, unchanged.
# CrCdCo2Ag

A relaxed structure of CrCdCo2Ag (GGA-PBE, Alexandria via LeMat-Bulk).

a = 4.722 Å, b = 4.722 Å, c = 5.003 Å
α = 90.00°, β = 90.00°, γ = 90.00°
Positions (direct):
Cr 0.000 0.000 0.000
Cd 0.000 0.000 0.500
Co 0.000 0.500 0.500
Co 0.500 0.000 0.500
Ag 0.500 0.500 0.000

Values from the calculation:
- calculated formation energy (kJ per mole of atoms) = 157.12
- magnetic moment (μB per formula unit) = 7.6
- space-group type = No. 123

Q: What is the magnetic moment in the third record?
A: 7.6 μB per formula unit